(1)
! PBE AlNiN3, optimized geometry; values from VASP
&SYSTEM
  ibrav = 0, nat = 5, ntyp = 3
/
ATOMIC_SPECIES
N 14.01 N.upf
Ni 58.69 Ni.upf
Al 26.98 Al.upf
ATOMIC_POSITIONS crystal
N 0.5000 0.0000 0.0000
N 0.0000 0.0000 0.5000
N 0.0000 0.5000 0.0000
Ni 0.5000 0.5000 0.5000
Al 0.0000 0.0000 0.0000
CELL_PARAMETERS angstrom
-2.2164 1.8822 2.2486
-0.0125 -2.8247 2.3521
2.9323 1.4106 1.7096
! * E_form (uncorrected): 1.2795 eV per atom
! * calculated total energy: -28.103 eV for the cell shown


(2)
! PBE AlNi3N, optimized geometry; values from VASP
&SYSTEM
  ibrav = 0, nat = 5, ntyp = 3
/
ATOMIC_SPECIES
Al 26.98 Al.upf
Ni 58.69 Ni.upf
N 14.01 N.upf
ATOMIC_POSITIONS crystal
Al 0.5000 0.5000 0.5000
Ni 0.5000 0.0000 0.0000
Ni 0.0000 0.5000 0.0000
Ni 0.0000 0.0000 0.5000
N 0.0000 0.0000 0.0000
CELL_PARAMETERS angstrom
-0.8989 -3.4016 -1.3462
0.7264 -1.5246 3.3673
-3.5854 0.5439 1.0197
! * E_form (uncorrected): -0.2228 eV per atom
! * calculated total energy: -30.526 eV for the cell shown
! * distance to the lowest polymorph of the same formula: 0.0 meV per atom


Density of states at the Fermi level values (in states/eV/cell) by entry order: 0.3 1.2.